{"formula": "Cr3NiF", "functional": "GGA+U", "state": "optimized geometry", "lattice_angstrom": [[3.931, 0.000, 0.000], [0.000, 3.931, 0.000], [0.000, 0.000, 3.931]], "species": ["Cr", "Cr", "Cr", "Ni", "F"], "frac_coords": [[0.000, 0.000, 0.500], [0.000, 0.500, 0.000], [0.500, 0.000, 0.000], [0.500, 0.500, 0.500], [0.000, 0.000, 0.000]], "crystal_system": "cubic", "total_magnetization_mub_per_fu": 3.37, "dos_at_fermi_per_ev_cell": 5.87, "relative_energy_ev_per_atom": 0.964}